## La2PPd (PBE)

Data for La2PPd after structural relaxation.

Computed properties:
- Crystal system: trigonal
- E_form: -101.63 kJ/mol of atoms
- Total magnetization: 0.0 Bohr magnetons per cell
- Space-group type: No. 160

Lattice parameters (Å, degrees): 4.160 4.160 22.219 90.00 90.00 120.00
Element x y z (fractional)
La1 0.000 0.000 0.000
La2 0.000 0.000 0.177
La3 0.333 0.667 0.667
La4 0.333 0.667 0.844
La5 0.667 0.333 0.333
La6 0.667 0.333 0.510
P1 0.000 0.000 0.588
P2 0.333 0.667 0.254
P3 0.667 0.333 0.921
Pd1 0.000 0.000 0.421
Pd2 0.333 0.667 0.088
Pd3 0.667 0.333 0.755

***

## LaPmPPd (PBE)

Data for LaPmPPd after structural relaxation.

Computed properties:
- Crystal system: cubic
- E_form: -84.96 kJ/mol of atoms
- Total magnetization: 3.5 Bohr magnetons per cell
- Space-group type: No. 216

Lattice parameters (Å, degrees): 7.234 7.234 7.234 90.00 90.00 90.00
Element x y z (fractional)
La1 0.000 0.000 0.000
La2 0.000 0.500 0.500
La3 0.500 0.000 0.500
La4 0.500 0.500 0.000
Pm1 0.000 0.000 0.500
Pm2 0.000 0.500 0.000
Pm3 0.500 0.000 0.000
Pm4 0.500 0.500 0.500
P1 0.250 0.250 0.750
P2 0.250 0.750 0.250
P3 0.750 0.250 0.250
P4 0.750 0.750 0.750
Pd1 0.250 0.250 0.250
Pd2 0.250 0.750 0.750
Pd3 0.750 0.250 0.750
Pd4 0.750 0.750 0.250

***

## LaPmP2Pd2 (PBE)

Data for LaPmP2Pd2 after structural relaxation.

Computed properties:
- Crystal system: trigonal
- E_form: -123.26 kJ/mol of atoms
- Total magnetization: 0.0 Bohr magnetons per cell
- Space-group type: No. 164

Lattice parameters (Å, degrees): 4.257 4.257 7.872 90.00 90.00 120.00
Element x y z (fractional)
La1 0.000 0.000 0.000
Pm1 0.000 0.000 0.500
P1 0.333 0.667 0.258
P2 0.667 0.333 0.742
Pd1 0.333 0.667 0.745
Pd2 0.667 0.333 0.255

***

## LaPrP2Pd2 (PBE)

Data for LaPrP2Pd2 after structural relaxation.

Computed properties:
- Crystal system: trigonal
- E_form: -122.45 kJ/mol of atoms
- Total magnetization: 0.0 Bohr magnetons per cell
- Space-group type: No. 164

Lattice parameters (Å, degrees): 4.271 4.271 7.958 90.00 90.00 120.00
Element x y z (fractional)
La1 0.000 0.000 0.000
Pr1 0.000 0.000 0.500
P1 0.333 0.667 0.254
P2 0.667 0.333 0.746
Pd1 0.333 0.667 0.749
Pd2 0.667 0.333 0.251

***

## LaPPd2Pt2 (PBE)

Data for LaPPd2Pt2 after structural relaxation.

Computed properties:
- Crystal system: tetragonal
- E_form: -48.70 kJ/mol of atoms
- Total magnetization: 0.0 Bohr magnetons per cell
- Space-group type: No. 123

Lattice parameters (Å, degrees): 4.632 4.632 5.623 90.00 90.00 90.00
Element x y z (fractional)
La1 0.000 0.000 0.000
P1 0.000 0.000 0.500
Pd1 0.500 0.500 0.239
Pd2 0.500 0.500 0.761
Pt1 0.000 0.500 0.500
Pt2 0.500 0.000 0.500

***

## La2P4Pd3Pt (PBE)

Data for La2P4Pd3Pt after structural relaxation.

Computed properties:
- Crystal system: tetragonal
- E_form: -95.67 kJ/mol of atoms
- Total magnetization: 0.0 Bohr magnetons per cell
- Space-group type: No. 115

Lattice parameters (Å, degrees): 4.351 4.351 9.594 90.00 90.00 90.00
Element x y z (fractional)
La1 0.000 0.500 0.245
La2 0.500 0.000 0.755
P1 0.000 0.000 0.000
P2 0.000 0.500 0.631
P3 0.500 0.000 0.369
P4 0.500 0.500 0.000
Pd1 0.000 0.500 0.885
Pd2 0.500 0.000 0.115
Pd3 0.500 0.500 0.500
Pt1 0.000 0.000 0.500

***

## LaPPd2Pt (PBE)

Data for LaPPd2Pt after structural relaxation.

Computed properties:
- Crystal system: tetragonal
- E_form: -74.96 kJ/mol of atoms
- Total magnetization: 0.0 Bohr magnetons per cell
- Space-group type: No. 123

Lattice parameters (Å, degrees): 4.645 4.645 4.669 90.00 90.00 90.00
Element x y z (fractional)
La1 0.000 0.000 0.000
P1 0.500 0.500 0.500
Pd1 0.000 0.500 0.500
Pd2 0.500 0.000 0.500
Pt1 0.500 0.500 0.000

***

## La2P3PdPt12 (PBE)

Data for La2P3PdPt12 after structural relaxation.

Computed properties:
- Crystal system: trigonal
- E_form: -38.41 kJ/mol of atoms
- Total magnetization: 0.0 Bohr magnetons per cell
- Space-group type: No. 166

Lattice parameters (Å, degrees): 7.729 7.729 7.729 64.65 64.65 64.65
Element x y z (fractional)
La1 0.115 0.115 0.115
La2 0.885 0.885 0.885
P1 0.000 0.500 0.500
P2 0.500 0.000 0.500
P3 0.500 0.500 0.000
Pd1 0.500 0.500 0.500
Pt1 0.120 0.627 0.627
Pt2 0.157 0.157 0.603
Pt3 0.157 0.603 0.157
Pt4 0.373 0.373 0.880
Pt5 0.373 0.880 0.373
Pt6 0.397 0.843 0.843
Pt7 0.603 0.157 0.157
Pt8 0.627 0.120 0.627
Pt9 0.627 0.627 0.120
Pt10 0.843 0.397 0.843
Pt11 0.843 0.843 0.397
Pt12 0.880 0.373 0.373

***

## La2PPdPt (PBE)

Data for La2PPdPt after structural relaxation.

Computed properties:
- Crystal system: tetragonal
- E_form: -20.08 kJ/mol of atoms
- Total magnetization: 0.0 Bohr magnetons per cell
- Space-group type: No. 123

Lattice parameters (Å, degrees): 5.523 5.523 4.793 90.00 90.00 90.00
Element x y z (fractional)
La1 0.000 0.500 0.000
La2 0.500 0.000 0.000
P1 0.000 0.000 0.500
Pd1 0.500 0.500 0.000
Pt1 0.500 0.500 0.500

***

## La2P3Pd4Pt (PBE)

Data for La2P3Pd4Pt after structural relaxation.

Computed properties:
- Crystal system: tetragonal
- E_form: -83.54 kJ/mol of atoms
- Total magnetization: 0.0 Bohr magnetons per cell
- Space-group type: No. 115

Lattice parameters (Å, degrees): 4.196 4.196 10.529 90.00 90.00 90.00
Element x y z (fractional)
La1 0.000 0.500 0.245
La2 0.500 0.000 0.755
P1 0.000 0.000 0.000
P2 0.000 0.500 0.624
P3 0.500 0.000 0.376
Pd1 0.000 0.000 0.500
Pd2 0.000 0.500 0.844
Pd3 0.500 0.000 0.156
Pd4 0.500 0.500 0.500
Pt1 0.500 0.500 0.000

***

## LaP2PdPt8 (PBE)

Data for LaP2PdPt8 after structural relaxation.

Computed properties:
- Crystal system: monoclinic
- E_form: -48.27 kJ/mol of atoms
- Total magnetization: 0.0 Bohr magnetons per cell
- Space-group type: No. 12

Lattice parameters (Å, degrees): 5.310 5.310 8.525 93.88 93.88 63.73
Element x y z (fractional)
La1 0.000 0.000 0.000
P1 0.493 0.493 0.769
P2 0.507 0.507 0.231
Pd1 0.000 0.000 0.500
Pt1 0.058 0.569 0.262
Pt2 0.342 0.342 0.979
Pt3 0.354 0.354 0.541
Pt4 0.431 0.942 0.738
Pt5 0.569 0.058 0.262
Pt6 0.646 0.646 0.459
Pt7 0.658 0.658 0.021
Pt8 0.942 0.431 0.738

***

## La2PPd2Pt4 (PBE)

Data for La2PPd2Pt4 after structural relaxation.

Computed properties:
- Crystal system: tetragonal
- E_form: -88.37 kJ/mol of atoms
- Total magnetization: 0.0 Bohr magnetons per cell
- Space-group type: No. 139

Lattice parameters (Å, degrees): 6.225 6.225 6.225 119.36 119.36 91.11
Element x y z (fractional)
La1 0.250 0.750 0.500
La2 0.750 0.250 0.500
P1 0.000 0.000 0.000
Pd1 0.273 0.273 0.000
Pd2 0.727 0.727 0.000
Pt1 0.266 0.266 0.532
Pt2 0.266 0.734 0.000
Pt3 0.734 0.266 0.000
Pt4 0.734 0.734 0.468